Record 1
UNi2Rh | PBE-GGA | relaxed

The structure belongs to space group Fm-3m (No. 225); the cell edges are 6.2207, 6.2207 and 6.2207 Å and the angles 90.00°, 90.00° and 90.00°. The distinct sites, in fractional coordinates, are U at (0.0000, 0.0000, 0.0000), Ni at (0.2500, 0.2500, 0.2500) and Rh at (0.0000, 0.0000, 0.5000).

The value obtained for the theoretical density is 12.65 g/cm³. As for the total energy: -7.73 eV/atom.

Record 2
Ca3Ac2PuSe6 | PBE-GGA | relaxed

The structure belongs to space group C2/m (No. 12); the cell edges are 18.8071, 4.2810 and 8.6386 Å and the angles 90.00°, 103.92° and 90.00°. The distinct sites, in fractional coordinates, are Ca at (0.0000, 0.0000, 0.0000), Ca at (0.1667, 0.5000, 0.3349), Ac at (0.1644, 0.5000, 0.8294), Pu at (0.0000, 0.0000, 0.5000), Se at (0.0050, 0.5000, 0.2537), Se at (0.1629, 0.0000, 0.0946) and Se at (0.1669, 0.0000, 0.5693).

The value obtained for the theoretical density is 6.36 g/cm³. As for the total energy: -5.96 eV/atom. The calculation puts the formation energy (no corrections) at -1.839 eV/atom.

Record 3
TlTeRhN2 | PBE-GGA | relaxed

The structure belongs to space group P4/mmm (No. 123); the cell edges are 4.1523, 4.1523 and 6.5516 Å and the angles 90.00°, 90.00° and 90.00°. The distinct sites, in fractional coordinates, are Tl at (0.0000, 0.0000, 0.0000), Te at (0.0000, 0.0000, 0.5000), Rh at (0.5000, 0.5000, 0.5000) and N at (0.0000, 0.5000, 0.0000).

The value obtained for the theoretical density is 6.80 g/cm³. As for the total energy: -3.87 eV/atom. The calculation puts the formation energy (no corrections) at 2.035 eV/atom. The energy above the most stable polymorph in this dataset comes out at 21.351 kcal/mol of atoms.

Record 4
ZnSi8 | PBE-GGA | relaxed

The structure belongs to space group I4/mmm (No. 139); the cell edges are 8.2297, 8.2297 and 3.9067 Å and the angles 90.00°, 90.00° and 90.00°. The distinct sites, in fractional coordinates, are Zn at (0.0000, 0.0000, 0.0000), Si at (0.0000, 0.3394, 0.0000) and Si at (0.1689, 0.1689, 0.5000).

The value obtained for the theoretical density is 3.64 g/cm³. As for the total energy: -4.47 eV/atom. The calculation puts the formation energy (no corrections) at 0.490 eV/atom.

Record 5
SmNbCo2 | PBE-GGA | relaxed

The structure belongs to space group R-3m (No. 166, hexagonal axes); the cell edges are 4.1621, 4.1621 and 14.9452 Å and the angles 90.00°, 90.00° and 120.00°. The distinct sites, in fractional coordinates, are Sm at (0.0000, 0.0000, 0.0000), Nb at (0.0000, 0.0000, 0.5000) and Co at (0.0000, 0.0000, 0.2039).

The value obtained for the theoretical density is 8.02 g/cm³. As for the total energy: -7.28 eV/atom. The energy above the most stable polymorph in this dataset comes out at 0.420 kcal/mol of atoms.

Record 6
TaTiPd6 | PBE-GGA | relaxed

The structure belongs to space group P4/mmm (No. 123); the cell edges are 3.9543, 3.9543 and 7.9045 Å and the angles 90.00°, 90.00° and 90.00°. The distinct sites, in fractional coordinates, are Ta at (0.0000, 0.0000, 0.0000), Ti at (0.0000, 0.0000, 0.5000), Pd at (0.0000, 0.5000, 0.2484), Pd at (0.5000, 0.5000, 0.0000) and Pd at (0.5000, 0.5000, 0.5000).

The value obtained for the theoretical density is 11.65 g/cm³. As for the total energy: -6.84 eV/atom. The energy above the most stable polymorph in this dataset comes out at 0.107 kcal/mol of atoms.

Record 7
MnCr2Re | PBE-GGA | relaxed

The structure belongs to space group Cmmm (No. 65); the cell edges are 2.9799, 4.1958 and 8.0617 Å and the angles 90.00°, 90.00° and 90.00°. The distinct sites, in fractional coordinates, are Mn at (0.0000, 0.0000, 0.0000), Cr at (0.0000, 0.5000, 0.2361) and Re at (0.0000, 0.0000, 0.5000).

The value obtained for the theoretical density is 11.37 g/cm³. As for the total energy: -10.11 eV/atom.

Record 8
ZnCr2Ni | PBE-GGA | relaxed

The structure belongs to space group P4mm (No. 99); the cell edges are 2.9880, 2.9880 and 5.5753 Å and the angles 90.00°, 90.00° and 90.00°. The distinct sites, in fractional coordinates, are Zn at (0.0000, 0.0000, 0.0000), Cr at (0.0000, 0.0000, 0.4998), Cr at (0.5000, 0.5000, 0.2838) and Ni at (0.5000, 0.5000, 0.7680).

The value obtained for the theoretical density is 7.61 g/cm³. As for the total energy: -6.53 eV/atom.

Record 9
PrDy3Tm6 | PBE-GGA | relaxed

The structure belongs to space group Cmc2_1 (No. 36); the cell edges are 10.7280, 19.0262 and 6.1765 Å and the angles 90.00°, 90.00° and 90.00°. The distinct sites, in fractional coordinates, are Pr at (0.0000, 0.2111, 0.0000), Dy at (0.0000, 0.3882, 0.1010), Dy at (0.1823, 0.1063, 0.7409), Tm at (0.0000, 0.0495, 0.2760), Tm at (0.0000, 0.3086, 0.5625), Tm at (0.1708, 0.4537, 0.6955) and Tm at (0.2302, 0.2127, 0.3388).

The value obtained for the theoretical density is 8.65 g/cm³. As for the total energy: -4.39 eV/atom. The energy above the most stable polymorph in this dataset comes out at 0.000 kcal/mol of atoms.

Record 10
PmSiPt4 | PBE-GGA | relaxed

The structure belongs to space group Pmma (No. 51); the cell edges are 7.7303, 3.9099 and 6.9815 Å and the angles 90.00°, 90.00° and 90.00°. The distinct sites, in fractional coordinates, are Pm at (0.2500, 0.0000, 0.1281), Si at (0.2500, 0.0000, 0.7064), Pt at (0.0000, 0.0000, 0.5000), Pt at (0.0596, 0.5000, 0.8073) and Pt at (0.2500, 0.5000, 0.4522).

The value obtained for the theoretical density is 15.01 g/cm³. As for the total energy: -6.59 eV/atom. The calculation puts the formation energy (no corrections) at -0.864 eV/atom. The energy above the most stable polymorph in this dataset comes out at 1.170 kcal/mol of atoms.

Record 11
CaCdRe2 | PBE-GGA | relaxed

The structure belongs to space group I-42d (No. 122); the cell edges are 8.0424, 8.0424 and 5.1732 Å and the angles 90.00°, 90.00° and 90.00°. The distinct sites, in fractional coordinates, are Ca at (0.0000, 0.0000, 0.0000), Cd at (0.0000, 0.0000, 0.5000) and Re at (0.2157, 0.7500, 0.6250).

The value obtained for the theoretical density is 10.42 g/cm³. As for the total energy: -5.61 eV/atom.

Record 12
BeCr2Ag | PBE-GGA | relaxed

The structure belongs to space group Cmmm (No. 65); the cell edges are 4.6846, 8.3889 and 2.5417 Å and the angles 90.00°, 90.00° and 90.00°. The distinct sites, in fractional coordinates, are Be at (0.0000, 0.0000, 0.0000), Cr at (0.2500, 0.2500, 0.5000) and Ag at (0.0000, 0.5000, 0.0000).

The value obtained for the theoretical density is 7.34 g/cm³. As for the total energy: -5.96 eV/atom.